{"formula": "Dy3HoIr3", "functional": "PBE", "state": "optimized geometry", "dos_ef_per_ev_fu": 2.91, "crystal_system": "monoclinic", "sg": "C2/m (12)", "rho_g_cm3": 12.7, "delta_e_f_kj_per_mol_fu": -486, "lattice": [[4.949, -4.924, 0.000], [4.949, 4.924, 0.000], [-0.005, 0.000, 6.592]], "species": ["Dy", "Dy", "Dy", "Dy", "Dy", "Dy", "Ho", "Ho", "Ir", "Ir", "Ir", "Ir", "Ir", "Ir"], "frac_coords": [[0.245, 0.245, 0.000], [0.245, 0.755, 0.000], [0.247, 0.753, 0.500], [0.753, 0.247, 0.500], [0.755, 0.245, 0.000], [0.755, 0.755, 0.000], [0.242, 0.242, 0.500], [0.758, 0.758, 0.500], [0.000, 0.000, 0.250], [0.000, 0.000, 0.750], [0.000, 0.500, 0.251], [0.000, 0.500, 0.749], [0.500, 0.000, 0.251], [0.500, 0.000, 0.749]]}